# CaCuSe2, PBEsol geometry, DFT SCAN
# Total DFT energy (no corrections): -204.86 eV for the cell shown
# Uncorrected formation energy: -816 meV/atom
data_CaCuSe2
_chemical_formula_sum 'Ca3 Cu3 Se6'
_cell_length_a 4.1703
_cell_length_b 4.1703
_cell_length_c 22.8692
_cell_angle_alpha 90.00
_cell_angle_beta 90.00
_cell_angle_gamma 120.00
_symmetry_space_group_name_H-M 'R -3 m'
_symmetry_Int_Tables_number 166
_symmetry_space_group_name_Hall '-R 3 2"'
loop_
_atom_site_label
_atom_site_fract_x
_atom_site_fract_y
_atom_site_fract_z
Ca1 0.0000 0.0000 0.0000
Cu1 0.0000 0.0000 0.5000
Se1 0.0000 0.0000 0.4040